Entry 1:
{
  "formula": "Pr2Ho6Sc",
  "functional": "PBE",
  "state": "relaxed",
  "lattice": [[8.1811, -5.7625, 0.0000], [8.1811, 5.7625, 0.0000], [-0.7459, 0.0000, 5.9933]],
  "species": ["Pr", "Pr", "Pr", "Pr", "Ho", "Ho", "Ho", "Ho", "Ho", "Ho", "Ho", "Ho", "Ho", "Ho", "Ho", "Ho", "Sc", "Sc"],
  "fractional_positions": [[0.0664, 0.2766, 0.0611], [0.2766, 0.0664, 0.5611], [0.7234, 0.9336, 0.4389], [0.9336, 0.7234, 0.9389], [0.0929, 0.8089, 0.4889], [0.1604, 0.4322, 0.6334], [0.1911, 0.9071, 0.0111], [0.2611, 0.5252, 0.1720], [0.4322, 0.1604, 0.1334], [0.4748, 0.7389, 0.3280], [0.5252, 0.2611, 0.6720], [0.5678, 0.8396, 0.8666], [0.7389, 0.4748, 0.8280], [0.8089, 0.0929, 0.9889], [0.8396, 0.5678, 0.3666], [0.9071, 0.1911, 0.5111], [0.3963, 0.6037, 0.7500], [0.6037, 0.3963, 0.2500]],
  "ef_ev_per_atom": 0.102,
  "e_above_lowest_polymorph_mev_per_atom": 0.0,
  "m_tot_mub_per_fu": 0.00
}



Entry 2:
{
  "formula": "LiAg2N",
  "functional": "PBE",
  "state": "relaxed",
  "lattice": [[-2.7427, 2.7427, 6.0127], [2.7427, -2.7427, 6.0127], [2.7427, 2.7427, -6.0127]],
  "species": ["Li", "Li", "Ag", "Ag", "Ag", "Ag", "N", "N"],
  "fractional_positions": [[0.0000, 0.0000, 0.0000], [0.7500, 0.2500, 0.5000], [0.3284, 0.6250, 0.2034], [0.3750, 0.5784, 0.7034], [0.4216, 0.1250, 0.7966], [0.8750, 0.6716, 0.2966], [0.2500, 0.7500, 0.5000], [0.5000, 0.5000, 0.0000]],
  "formation_energy_uncorrected_ev_per_fu": 2.43,
  "m_tot_mub_per_fu": 0.00
}



Entry 3:
{
  "formula": "La2LuPu",
  "functional": "PBE",
  "state": "relaxed",
  "lattice": [[5.1241, 0.0000, 0.0000], [0.0000, 5.1241, 0.0000], [0.0000, 0.0000, 4.8766]],
  "species": ["La", "La", "Lu", "Pu"],
  "fractional_positions": [[0.0000, 0.5000, 0.0000], [0.5000, 0.0000, 0.0000], [0.0000, 0.0000, 0.5000], [0.5000, 0.5000, 0.5000]],
  "ef_ev_per_atom": 0.140,
  "e_above_lowest_polymorph_mev_per_atom": 0.0,
  "m_tot_mub_per_fu": 6.31
}



Entry 4:
{
  "formula": "ScTa2Cd",
  "functional": "PBE",
  "state": "relaxed",
  "lattice": [[3.0822, 0.0000, 0.0000], [0.0000, 3.8068, 0.0000], [0.0000, 0.0000, 6.8093]],
  "species": ["Sc", "Ta", "Ta", "Cd"],
  "fractional_positions": [[0.0000, 0.0000, 0.0000], [0.0000, 0.0000, 0.4744], [0.5000, 0.5000, 0.2566], [0.5000, 0.5000, 0.7354]],
  "ef_ev_per_atom": 0.115,
  "m_tot_mub_per_fu": 0.00
}



Entry 5:
{
  "formula": "FeRe2Cl",
  "functional": "PBE",
  "state": "relaxed",
  "lattice": [[4.5710, -1.4034, 0.0000], [4.5710, 1.4034, 0.0000], [-0.1246, 0.0000, 4.4759]],
  "species": ["Fe", "Re", "Re", "Cl"],
  "fractional_positions": [[0.0000, 0.0000, 0.0000], [0.4391, 0.4391, 0.5453], [0.7199, 0.7199, 0.7923], [0.2174, 0.2174, 0.2155]],
  "formation_energy_uncorrected_ev_per_fu": 3.13,
  "e_above_lowest_polymorph_mev_per_atom": 478.6,
  "m_tot_mub_per_fu": 0.00
}



Entry 6:
{
  "formula": "Zr2VPb2",
  "functional": "PBE",
  "state": "relaxed",
  "lattice": [[7.4219, 0.0000, 0.0000], [0.0000, 7.4219, 0.0000], [0.0000, 0.0000, 4.1442]],
  "species": ["Zr", "Zr", "Zr", "Zr", "V", "V", "Pb", "Pb", "Pb", "Pb"],
  "fractional_positions": [[0.1602, 0.3398, 0.0000], [0.3398, 0.8398, 0.0000], [0.6602, 0.1602, 0.0000], [0.8398, 0.6602, 0.0000], [0.0000, 0.0000, 0.5000], [0.5000, 0.5000, 0.5000], [0.1457, 0.6457, 0.5000], [0.3543, 0.1457, 0.5000], [0.6457, 0.8543, 0.5000], [0.8543, 0.3543, 0.5000]],
  "ef_ev_per_atom": 0.116,
  "m_tot_mub_per_fu": 1.39
}



Entry 7:
{
  "formula": "Ge3Sb2Te6",
  "functional": "PBE",
  "state": "relaxed",
  "lattice": [[3.6877, -2.1250, 0.0000], [3.6877, 2.1250, 0.0000], [-2.4796, 0.0000, 21.5469]],
  "species": ["Ge", "Ge", "Ge", "Sb", "Sb", "Te", "Te", "Te", "Te", "Te", "Te"],
  "fractional_positions": [[0.0000, 0.0000, 0.0000], [0.0917, 0.0917, 0.2745], [0.2763, 0.2763, 0.8292], [0.5489, 0.5489, 0.6464], [0.8195, 0.8195, 0.4581], [0.1844, 0.1844, 0.5531], [0.3552, 0.3552, 0.0656], [0.4593, 0.4593, 0.3770], [0.6318, 0.6318, 0.8959], [0.7365, 0.7365, 0.2088], [0.9093, 0.9093, 0.7284]],
  "formation_energy_uncorrected_ev_per_fu": -0.96,
  "m_tot_mub_per_fu": 0.00
}



Entry 8:
{
  "formula": "LaCuP2",
  "functional": "PBE",
  "state": "relaxed",
  "lattice": [[2.1071, 1.2165, 4.9389], [-2.1071, 1.2165, 4.9389], [0.0000, -2.4331, 4.9389]],
  "species": ["La", "Cu", "P", "P"],
  "fractional_positions": [[0.0000, 0.0000, 0.0000], [0.5000, 0.5000, 0.5000], [0.2064, 0.2064, 0.2064], [0.7936, 0.7936, 0.7936]],
  "ef_ev_per_atom": -0.584,
  "m_tot_mub_per_fu": 0.00
}